LaTh2CoN4 | PBE | optimized geometry

a b c (Å): 6.201 6.201 11.963
angles (deg): 90.00 90.00 145.93
Element x y z (fractional)
La  0.095  0.905  0.750
La  0.905  0.095  0.250
Th  0.368  0.632  0.559
Th  0.368  0.632  0.941
Th  0.632  0.368  0.059
Th  0.632  0.368  0.441
Co  0.168  0.832  0.250
Co  0.832  0.168  0.750
N  0.000  0.000  0.000
N  0.000  0.000  0.500
N  0.264  0.736  0.118
N  0.264  0.736  0.382
N  0.445  0.555  0.750
N  0.555  0.445  0.250
N  0.736  0.264  0.618
N  0.736  0.264  0.882

Calculated values
- Space-group type: No. 63
- Volume: 16.11 Å³/atom
- Spin magnetization: 2.0 μB/f.u.
- Raw formation energy: -1193 meV/atom

ZnAg2Pt | PBE | optimized geometry

a b c (Å): 2.848 4.139 5.555
angles (deg): 90.00 90.00 90.00
Element x y z (fractional)
Zn  0.000  0.000  0.000
Ag  0.500  0.500  0.247
Ag  0.500  0.500  0.753
Pt  0.000  0.000  0.500

Calculated values
- Space-group type: No. 47
- Volume: 16.37 Å³/atom
- Spin magnetization: 0.0 μB/f.u.
- ΔH_f (0 K): -0.069 eV per atom

SmCr2B6 | PBE | optimized geometry

a b c (Å): 5.509 5.509 5.509
angles (deg): 147.39 107.15 82.11
Element x y z (fractional)
Sm  0.000  0.000  0.000
Cr  0.346  0.846  0.500
Cr  0.654  0.154  0.500
B  0.067  0.303  0.764
B  0.360  0.500  0.860
B  0.461  0.697  0.764
B  0.539  0.303  0.236
B  0.640  0.500  0.140
B  0.933  0.697  0.236

Calculated values
- Space-group type: No. 71
- Volume: 9.34 Å³/atom
- Spin magnetization: 0.0 μB/f.u.
- ΔH_f (0 K): -0.560 eV per atom

> Which value of spin magnetization does entry 1 give?

2.0 μB/f.u.